A relaxed structure of Ac4Pr4Dy3. Source: the Alexandria database, functional PBE-GGA.

The magnetic moment is 0.0 μB per formula unit. The value obtained for the formation enthalpy at 0 K is 5.67 eV per formula unit. Its final energy is -3.972 eV per atom. As for the space-group type: No. 71.

abc: 11.556 11.556 11.556
angles: 161.23 93.98 89.07
Positions (direct):
Ac1 0.156 0.156 0.000
Ac2 0.279 0.000 0.279
Ac3 0.721 0.000 0.721
Ac4 0.844 0.844 0.000
Pr1 0.215 0.338 0.877
Pr2 0.461 0.338 0.123
Pr3 0.539 0.662 0.877
Pr4 0.785 0.662 0.123
Dy1 0.102 0.500 0.602
Dy2 0.500 0.000 0.500
Dy3 0.898 0.500 0.398

A relaxed structure of Ac2Pr3Dy2. Source: the Alexandria database, functional PBE-GGA.

The magnetic moment is 0.0 μB per formula unit. The value obtained for the formation enthalpy at 0 K is 1.98 eV per formula unit. Its final energy is -4.255 eV per atom. As for the space-group type: No. 12.

abc: 9.278 9.278 5.966
angles: 108.66 108.66 34.97
Positions (direct):
Ac1 0.111 0.111 0.110
Ac2 0.889 0.889 0.890
Pr1 0.000 0.000 0.500
Pr2 0.237 0.237 0.736
Pr3 0.763 0.763 0.264
Dy1 0.391 0.391 0.390
Dy2 0.609 0.609 0.610

A relaxed structure of AcPr8Dy4. Source: the Alexandria database, functional PBE-GGA.

The magnetic moment is 0.0 μB per formula unit. The value obtained for the formation enthalpy at 0 K is 2.95 eV per formula unit. Its final energy is -4.446 eV per atom. As for the space-group type: No. 166.

abc: 10.838 10.838 10.838
angles: 39.89 39.89 39.89
Positions (direct):
Ac1 0.000 0.000 0.000
Pr1 0.257 0.257 0.704
Pr2 0.257 0.704 0.257
Pr3 0.289 0.289 0.289
Pr4 0.296 0.743 0.743
Pr5 0.704 0.257 0.257
Pr6 0.711 0.711 0.711
Pr7 0.743 0.296 0.743
Pr8 0.743 0.743 0.296
Dy1 0.000 0.000 0.500
Dy2 0.000 0.500 0.000
Dy3 0.500 0.000 0.000
Dy4 0.500 0.500 0.500

A relaxed structure of Ac5Pr4Dy2. Source: the Alexandria database, functional PBE-GGA.

The magnetic moment is 0.0 μB per formula unit. The value obtained for the formation enthalpy at 0 K is 1.71 eV per formula unit. Its final energy is -4.287 eV per atom. As for the space-group type: No. 10.

abc: 9.440 3.704 12.583
angles: 90.00 91.91 90.00
Positions (direct):
Ac1 0.000 0.000 0.000
Ac2 0.197 0.000 0.528
Ac3 0.288 0.000 0.821
Ac4 0.712 0.000 0.179
Ac5 0.803 0.000 0.472
Pr1 0.076 0.500 0.267
Pr2 0.461 0.500 0.354
Pr3 0.539 0.500 0.646
Pr4 0.924 0.500 0.733
Dy1 0.346 0.000 0.119
Dy2 0.654 0.000 0.881

A relaxed structure of Ac8Pr3Dy. Source: the Alexandria database, functional PBE-GGA.

The magnetic moment is 0.0 μB per formula unit. The value obtained for the formation enthalpy at 0 K is 6.91 eV per formula unit. Its final energy is -3.742 eV per atom. As for the space-group type: No. 121.

abc: 9.234 9.234 9.234
angles: 119.12 119.12 91.54
Positions (direct):
Ac1 0.113 0.113 0.738
Ac2 0.238 0.238 0.495
Ac3 0.257 0.762 0.000
Ac4 0.375 0.375 0.262
Ac5 0.625 0.887 0.000
Ac6 0.743 0.743 0.505
Ac7 0.762 0.257 0.000
Ac8 0.887 0.625 0.000
Pr1 0.250 0.750 0.500
Pr2 0.500 0.500 0.000
Pr3 0.750 0.250 0.500
Dy1 0.000 0.000 0.000

A relaxed structure of AcPr2Dy7. Source: the Alexandria database, functional PBE-GGA.

The magnetic moment is 0.0 μB per formula unit. The value obtained for the formation enthalpy at 0 K is 4.25 eV per formula unit. Its final energy is -4.163 eV per atom. As for the space-group type: No. 65.

abc: 10.364 10.364 3.597
angles: 90.00 90.00 110.20
Positions (direct):
Ac1 0.000 0.000 0.000
Pr1 0.182 0.818 0.500
Pr2 0.818 0.182 0.500
Dy1 0.127 0.395 0.500
Dy2 0.333 0.667 0.000
Dy3 0.395 0.127 0.500
Dy4 0.500 0.500 0.500
Dy5 0.605 0.873 0.500
Dy6 0.667 0.333 0.000
Dy7 0.873 0.605 0.500